<w>
# Pm6Nd3Er2, relaxed, DFT PBE-GGA
data_Pm6Nd3Er2
_symmetry_space_group_name_H-M 'P 1'
_symmetry_Int_Tables_number 1
_symmetry_space_group_name_Hall 'P 1'
_cell_length_a 17.160
_cell_length_b 17.160
_cell_length_c 17.160
_cell_angle_alpha 163.82
_cell_angle_beta 163.82
_cell_angle_gamma 22.96
loop_
_atom_site_label
_atom_site_fract_x
_atom_site_fract_y
_atom_site_fract_z
_atom_site_occupancy
Pm1 0.119 0.619 0.500 1
Pm2 0.196 0.196 0.000 1
Pm3 0.381 0.881 0.500 1
Pm4 0.619 0.119 0.500 1
Pm5 0.804 0.804 0.000 1
Pm6 0.881 0.381 0.500 1
Nd1 0.299 0.299 0.000 1
Nd2 0.500 0.500 0.000 1
Nd3 0.701 0.701 0.000 1
Er1 0.045 0.045 0.000 1
Er2 0.955 0.955 0.000 1
# **Magnetization**: 0.000 μB per atom

<x>
# Pm6Nd3Er2, relaxed, DFT PBE-GGA
data_Pm6Nd3Er2
_symmetry_space_group_name_H-M 'P 1'
_symmetry_Int_Tables_number 1
_symmetry_space_group_name_Hall 'P 1'
_cell_length_a 32.685
_cell_length_b 32.685
_cell_length_c 32.685
_cell_angle_alpha 6.37
_cell_angle_beta 6.37
_cell_angle_gamma 6.37
loop_
_atom_site_label
_atom_site_fract_x
_atom_site_fract_y
_atom_site_fract_z
_atom_site_occupancy
Pm1 0.092 0.092 0.092 1
Pm2 0.182 0.182 0.182 1
Pm3 0.364 0.364 0.364 1
Pm4 0.636 0.636 0.636 1
Pm5 0.818 0.818 0.818 1
Pm6 0.908 0.908 0.908 1
Nd1 0.000 0.000 0.000 1
Nd2 0.272 0.272 0.272 1
Nd3 0.728 0.728 0.728 1
Er1 0.455 0.455 0.455 1
Er2 0.545 0.545 0.545 1
# **Magnetization**: 0.000 μB per atom

Which is the most stable structure? <x> is the most stable.

<w>
# Pm7Nd4Er, relaxed, DFT PBE-GGA
data_Pm7Nd4Er
_symmetry_space_group_name_H-M 'P 1'
_symmetry_Int_Tables_number 1
_symmetry_space_group_name_Hall 'P 1'
_cell_length_a 6.357
_cell_length_b 7.350
_cell_length_c 9.102
_cell_angle_alpha 90.05
_cell_angle_beta 103.51
_cell_angle_gamma 90.01
loop_
_atom_site_label
_atom_site_fract_x
_atom_site_fract_y
_atom_site_fract_z
_atom_site_occupancy
Pm1 0.000 0.000 0.000 1
Pm2 0.221 0.500 0.668 1
Pm3 0.277 0.252 0.330 1
Pm4 0.500 0.252 0.000 1
Pm5 0.500 0.748 0.000 1
Pm6 0.723 0.748 0.670 1
Pm7 0.779 0.500 0.332 1
Nd1 0.224 0.000 0.668 1
Nd2 0.277 0.748 0.330 1
Nd3 0.723 0.252 0.670 1
Nd4 0.776 0.000 0.332 1
Er1 0.000 0.500 0.000 1
# **Magnetization**: 0.000 μB per atom

<x>
# Pm7Nd4Er, relaxed, DFT PBE-GGA
data_Pm7Nd4Er
_symmetry_space_group_name_H-M 'P 1'
_symmetry_Int_Tables_number 1
_symmetry_space_group_name_Hall 'P 1'
_cell_length_a 8.766
_cell_length_b 8.766
_cell_length_c 9.381
_cell_angle_alpha 114.39
_cell_angle_beta 114.39
_cell_angle_gamma 40.48
loop_
_atom_site_label
_atom_site_fract_x
_atom_site_fract_y
_atom_site_fract_z
_atom_site_occupancy
Pm1 0.000 0.000 0.000 1
Pm2 0.292 0.292 0.125 1
Pm3 0.293 0.293 0.777 1
Pm4 0.420 0.420 0.566 1
Pm5 0.580 0.580 0.434 1
Pm6 0.707 0.707 0.223 1
Pm7 0.708 0.708 0.875 1
Nd1 0.075 0.075 0.701 1
Nd2 0.174 0.174 0.388 1
Nd3 0.826 0.826 0.612 1
Nd4 0.925 0.925 0.299 1
Er1 0.500 0.500 0.000 1
# **Magnetization**: 0.034 μB per atom

Which is the most stable structure? <w> is the most stable.

<w>
# Pm3NdEr6, relaxed, DFT PBE-GGA
data_Pm3NdEr6
_symmetry_space_group_name_H-M 'P 1'
_symmetry_Int_Tables_number 1
_symmetry_space_group_name_Hall 'P 1'
_cell_length_a 10.975
_cell_length_b 10.975
_cell_length_c 6.229
_cell_angle_alpha 90.00
_cell_angle_beta 90.00
_cell_angle_gamma 119.44
loop_
_atom_site_label
_atom_site_fract_x
_atom_site_fract_y
_atom_site_fract_z
_atom_site_occupancy
Pm1 0.108 0.892 0.500 1
Pm2 0.216 0.436 0.105 1
Pm3 0.436 0.216 0.605 1
Pm4 0.564 0.784 0.105 1
Pm5 0.784 0.564 0.605 1
Pm6 0.892 0.108 0.000 1
Nd1 0.295 0.705 0.422 1
Nd2 0.705 0.295 0.922 1
Er1 0.038 0.461 0.698 1
Er2 0.117 0.213 0.533 1
Er3 0.213 0.117 0.033 1
Er4 0.218 0.782 0.926 1
Er5 0.455 0.545 0.661 1
Er6 0.461 0.038 0.198 1
Er7 0.539 0.962 0.698 1
Er8 0.545 0.455 0.161 1
Er9 0.782 0.218 0.426 1
Er10 0.787 0.883 0.533 1
Er11 0.883 0.787 0.033 1
Er12 0.962 0.539 0.198 1
# **Magnetization**: 0.000 μB per atom

<x>
# Pm3NdEr6, relaxed, DFT PBE-GGA
data_Pm3NdEr6
_symmetry_space_group_name_H-M 'P 1'
_symmetry_Int_Tables_number 1
_symmetry_space_group_name_Hall 'P 1'
_cell_length_a 6.892
_cell_length_b 6.892
_cell_length_c 6.892
_cell_angle_alpha 91.67
_cell_angle_beta 91.67
_cell_angle_gamma 91.67
loop_
_atom_site_label
_atom_site_fract_x
_atom_site_fract_y
_atom_site_fract_z
_atom_site_occupancy
Pm1 0.000 0.000 0.000 1
Pm2 0.249 0.249 0.249 1
Pm3 0.751 0.751 0.751 1
Nd1 0.500 0.500 0.500 1
Er1 0.000 0.673 0.327 1
Er2 0.172 0.500 0.828 1
Er3 0.327 0.000 0.673 1
Er4 0.500 0.828 0.172 1
Er5 0.673 0.327 0.000 1
Er6 0.828 0.172 0.500 1
# **Magnetization**: 0.000 μB per atom

Which is the most stable structure? <w> is the most stable.